BaCaAc: optimized geometry, PBE-GGA.

Cell and atoms, written as extended XYZ:
```
3
Lattice="4.070 0.000 0.000 0.000 4.070 0.000 -2.035 -2.035 8.780" Properties=species:S:1:pos:R:3 pbc="T T T"
Ca 0.000 0.000 5.721
Ba 0.000 0.000 0.026
Ac 2.035 2.035 3.032
```

The calculation puts the density of states at the Fermi level at 4.720 states/eV/f.u. Its formation energy is 69 meV/atom. The total energy comes out at -2.61 eV per atom. As for the symmetry: I4mm, No. 107. For the total magnetization, the calculation gives 0.00 μB per cell.